1.
# Mn3CuS

A relaxed structure of Mn3CuS (PBE, Alexandria via LeMat-Bulk).

Summary:
Density of states at the Fermi level (states/eV per cell): 2.075
Relative energy among the computed polymorphs (meV/atom): 0
Uncorrected formation energy (eV per atom): 0.306

a b c (Å): 4.289 4.289 4.289
angles (deg): 90.00 90.00 90.00
Space group Pm-3m (No. 221)
Asymmetric unit:
Mn 0.000 0.000 0.500
Cu 0.500 0.500 0.500
S 0.000 0.000 0.000

=====

2.
# Mn3Cu3S8

A relaxed structure of Mn3Cu3S8 (PBE, Alexandria via LeMat-Bulk).

Summary:
Density of states at the Fermi level (states/eV per cell): 16.397
Uncorrected formation energy (eV per atom): -0.443

a b c (Å): 6.8287 6.8287 17.2361
angles (deg): 90.00 90.00 120.00
Space group R-3m (No. 166, hexagonal axes)
Asymmetric unit:
Mn 0.0000 0.5000 0.0000
Cu 0.0000 0.0000 0.1237
Cu 0.0000 0.0000 0.5000
S 0.0000 0.0000 0.2579
S 0.0232 0.5116 0.2558

=====

3.
# MnCu2S3

A relaxed structure of MnCu2S3 (PBE, Alexandria via LeMat-Bulk).

Summary:
Density of states at the Fermi level (states/eV per cell): 10.124
Uncorrected formation energy (eV per atom): -0.364

a b c (Å): 10.881 6.389 6.271
angles (deg): 90.00 90.00 90.00
Space group Cmc2_1 (No. 36)
Asymmetric unit:
Mn 0.000 0.164 0.000
Cu 0.168 0.336 0.490
S 0.000 0.168 0.634
S 0.164 0.332 0.126

=====

4.
# MnCuS3

A relaxed structure of MnCuS3 (PBE, Alexandria via LeMat-Bulk).

Summary:
Density of states at the Fermi level (states/eV per cell): 3.748
Relative energy among the computed polymorphs (meV/atom): 739
Uncorrected formation energy (eV per atom): 0.522

a b c (Å): 4.506 4.506 4.506
angles (deg): 90.00 90.00 90.00
Space group Pm-3m (No. 221)
Asymmetric unit:
Mn 0.000 0.000 0.000
Cu 0.500 0.500 0.500
S 0.000 0.500 0.500

=====

5.
# MnCuS

A relaxed structure of MnCuS (PBE, Alexandria via LeMat-Bulk).

Summary:
Density of states at the Fermi level (states/eV per cell): 3.075
Uncorrected formation energy (eV per atom): -0.059

a b c (Å): 2.798 2.798 13.040
angles (deg): 84.25 86.45 60.02
Space group P-1 (No. 2)
Asymmetric unit:
Mn 0.182 0.268 0.265
Cu 0.162 0.134 0.576
S 0.476 0.351 0.846

=====

6.
# Mn3CuS

A relaxed structure of Mn3CuS (PBE, Alexandria via LeMat-Bulk).

Summary:
Density of states at the Fermi level (states/eV per cell): 1.788
Relative energy among the computed polymorphs (meV/atom): 502
Uncorrected formation energy (eV per atom): 0.808

a b c (Å): 4.563 4.563 4.563
angles (deg): 90.00 90.00 90.00
Space group Pm-3m (No. 221)
Asymmetric unit:
Mn 0.000 0.000 0.500
Cu 0.000 0.000 0.000
S 0.500 0.500 0.500